{
  "formula": "ZrAlCl3",
  "functional": "PBE",
  "state": "relaxed",
  "cell": [[4.934, 0.000, 0.000], [0.000, 4.934, 0.000], [0.000, 0.000, 4.934]],
  "species": ["Cl", "Al", "Cl", "Cl", "Zr"],
  "fractional_positions": [[0.500, 0.000, 0.000], [0.000, 0.000, 0.000], [0.000, 0.000, 0.500], [0.000, 0.500, 0.000], [0.500, 0.500, 0.500]],
  "e_form_raw_mev_per_atom": -124,
  "dos_ef_per_ev_cell": 4.56,
  "volume_a3_per_atom": 24.0,
  "de_polymorph_kcal_per_mol_atoms": 14.673
}